This record from Alexandria describes NiAs2SeO after structural relaxation. The functional is PBE with a Hubbard U.

a = 4.2857 Å, b = 4.2857 Å, c = 4.5014 Å
α = 90.00°, β = 90.00°, γ = 90.00°
With the nearest neighbours (Å) after each atom.
Sites, in units of the cell vectors:
Ni: 0.5000 0.5000 0.5000  4 Se 3.03, 8 As 3.11
O: 0.0000 0.0000 0.0000  4 As 2.14, 2 Se 2.25
Se: 0.0000 0.0000 0.5000  2 O 2.25
As: 0.5000 0.0000 0.0000  2 O 2.14
As: 0.0000 0.5000 0.0000  2 O 2.14

Calculated values
- Space-group type: P4/mmm (123)
- Calculated density: 6.10 Mg/m³
- Energy above the most stable polymorph in this dataset: 0.00 eV/f.u.